(1)
## Au4Se (PBE-GGA)

Data for a relaxed Au4Se crystal.

For the uncorrected energy, the calculation gives -2.680 eV/atom. The calculation puts the magnetization at 0.00 μB per atom. The calculation puts the formation energy (no corrections) at 0.639 eV/atom. As for the crystal system: cubic. The volume is 24.7 A^3/atom.

The structure belongs to space group Pm-3m (No. 221); the cell edges are 4.980, 4.980 and 4.980 Å and the angles 90.00°, 90.00° and 90.00°. Symmetry generates all atoms from Au at (0.000, 0.000, 0.000), Au at (0.000, 0.500, 0.500) and Se at (0.500, 0.500, 0.500).

=====

(2)
## Au2Se (PBE-GGA)

Data for a relaxed Au2Se crystal.

For the uncorrected energy, the calculation gives -3.063 eV/atom. The calculation puts the magnetization at 0.00 μB per atom. The calculation puts the formation energy (no corrections) at 0.283 eV/atom. As for the crystal system: cubic. The volume is 22.0 A^3/atom.

The structure belongs to space group Fm-3m (No. 225); the cell edges are 6.415, 6.415 and 6.415 Å and the angles 90.00°, 90.00° and 90.00°. Symmetry generates all atoms from Au at (0.250, 0.250, 0.250) and Se at (0.000, 0.000, 0.000).

=====

(3)
## AuSe (PBE-GGA)

Data for a relaxed AuSe crystal.

For the uncorrected energy, the calculation gives -3.337 eV/atom. The calculation puts the magnetization at 0.00 μB per atom. The calculation puts the formation energy (no corrections) at 0.044 eV/atom. As for the crystal system: orthorhombic. The volume is 28.1 A^3/atom.

The structure belongs to space group Fddd (No. 70, origin choice 2); the cell edges are 5.944, 8.453 and 17.923 Å and the angles 90.00°, 90.00° and 90.00°. Symmetry generates all atoms from Au at (0.125, 0.308, 0.125) and Se at (0.125, 0.125, 0.481).

=====

(4)
## AuSe2 (PBE-GGA)

Data for a relaxed AuSe2 crystal.

For the uncorrected energy, the calculation gives -3.235 eV/atom. The calculation puts the magnetization at 0.00 μB per atom. The calculation puts the formation energy (no corrections) at 0.181 eV/atom. As for the crystal system: hexagonal. The volume is 21.5 A^3/atom.

The structure belongs to space group P6_3/mmc (No. 194); the cell edges are 3.8122, 3.8122 and 10.2363 Å and the angles 90.00°, 90.00° and 120.00°. Symmetry generates all atoms from Au at (0.0000, 0.0000, 0.2500) and Se at (0.3333, 0.6667, 0.0913).

=====

(5)
## Au3Se (PBE-GGA)

Data for a relaxed Au3Se crystal.

For the uncorrected energy, the calculation gives -3.164 eV/atom. The calculation puts the magnetization at 0.00 μB per atom. The calculation puts the formation energy (no corrections) at 0.166 eV/atom. As for the crystal system: trigonal. The volume is 20.2 A^3/atom.

The structure belongs to space group R-3m (No. 166, hexagonal axes); the cell edges are 3.5490, 3.5490 and 22.2167 Å and the angles 90.00°, 90.00° and 120.00°. Symmetry generates all atoms from Au at (0.0000, 0.0000, 0.0000), Au at (0.0000, 0.0000, 0.2488) and Se at (0.0000, 0.0000, 0.5000).

=====

(6)
## AuSe5 (PBE-GGA)

Data for a relaxed AuSe5 crystal.

For the uncorrected energy, the calculation gives -2.849 eV/atom. The calculation puts the magnetization at 0.33 μB per atom. The calculation puts the formation energy (no corrections) at 0.601 eV/atom. As for the crystal system: hexagonal. The volume is 28.2 A^3/atom. The energy above the most stable polymorph in this dataset comes out at 3.074 eV per formula unit.

The structure belongs to space group P6/mmm (No. 191); the cell edges are 5.0999, 5.0999 and 7.5065 Å and the angles 90.00°, 90.00° and 120.00°. Symmetry generates all atoms from Au at (0.0000, 0.0000, 0.0000), Se at (0.0000, 0.5000, 0.5000) and Se at (0.3333, 0.6667, 0.0000).

=====

(7)
## AuSe5 (PBE-GGA)

Data for a relaxed AuSe5 crystal.

For the uncorrected energy, the calculation gives -3.361 eV/atom. The calculation puts the magnetization at 0.00 μB per atom. The calculation puts the formation energy (no corrections) at 0.089 eV/atom. As for the crystal system: monoclinic. The volume is 25.3 A^3/atom. The energy above the most stable polymorph in this dataset comes out at 0.000 eV per formula unit.

The structure belongs to space group Cm (No. 8); the cell edges are 8.282, 3.788 and 9.694 Å and the angles 90.00°, 91.91° and 90.00°. Symmetry generates all atoms from Au at (0.000, 0.000, 0.000), Se at (0.058, 0.500, 0.665), Se at (0.114, 0.500, 0.146), Se at (0.273, 0.000, 0.351), Se at (0.379, 0.000, 0.852) and Se at (0.403, 0.500, 0.491).

=====

(8)
## Au3Se5 (PBE-GGA)

Data for a relaxed Au3Se5 crystal.

For the uncorrected energy, the calculation gives -3.049 eV/atom. The calculation puts the magnetization at 0.00 μB per atom. The calculation puts the formation energy (no corrections) at 0.358 eV/atom. As for the crystal system: hexagonal. The volume is 21.9 A^3/atom. The energy above the most stable polymorph in this dataset comes out at 2.903 eV per formula unit.

The structure belongs to space group P6_3/mcm (No. 193); the cell edges are 7.5243, 7.5243 and 7.1594 Å and the angles 90.00°, 90.00° and 120.00°. Symmetry generates all atoms from Au at (0.0000, 0.4419, 0.2500), Se at (0.0000, 0.2008, 0.7500) and Se at (0.3333, 0.6667, 0.0000).